No. 1
NdSc2Cd2In2: relaxed, GGA-PBE.

```
NdSc2Cd2In2
1.0
4.880 0.000 0.000
2.440 4.226 0.000
2.440 1.409 8.507
Nd Sc Cd In
1 2 2 2
Direct
0.000 0.000 0.000
0.137 0.137 0.590
0.863 0.863 0.410
0.564 0.564 0.309
0.436 0.436 0.691
0.738 0.738 0.785
0.262 0.262 0.215
```

Properties
ρ ... 6.5 g cm⁻³
Raw total energy ... -26.597 eV/cell
Magnetization ... 0.625 μB per cell

---

No. 2
ScBe2In: relaxed, GGA-PBE.

```
ScBe2In
1.0
-1.230 -1.211 2.643
0.108 -2.886 -1.272
5.968 -0.833 2.396
Sc Be In
1 2 1
Direct
0.500 0.500 0.750
0.000 0.000 0.016
0.000 0.000 0.484
0.500 0.500 0.250
```

Properties
ρ ... 4.6 g cm⁻³
Raw total energy ... -15.498 eV/cell
Magnetization ... 0.269 μB per cell

---

No. 3
Y2MnIr: relaxed, GGA-PBE.

```
Y2MnIr
1.0
-0.445 -0.614 -3.226
-1.985 -3.824 1.002
-5.241 2.771 0.195
Ir Mn Y
1 1 2
Direct
0.000 0.000 0.471
0.500 0.500 0.771
0.000 0.000 0.950
0.500 0.500 0.307
```

Properties
ρ ... 8.1 g cm⁻³
Raw total energy ... -30.981 eV/cell
Magnetization ... 3.068 μB per cell

---

No. 4
LaMgH8Pd2: relaxed, GGA-PBE.

```
LaMgH8Pd2
1.0
-1.711 0.301 4.242
-1.392 -3.351 -2.801
4.917 -3.933 2.262
La Mg H Pd
1 1 8 2
Direct
0.000 0.000 0.000
0.000 0.000 0.500
0.333 0.667 0.953
0.296 0.347 0.299
0.653 0.949 0.299
0.667 0.333 0.047
0.347 0.051 0.701
0.704 0.653 0.701
0.949 0.296 0.701
0.051 0.704 0.299
0.667 0.333 0.300
0.333 0.667 0.700
```

Properties
ρ ... 5.2 g cm⁻³
Raw total energy ... -44.974 eV/cell
Magnetization ... 0.000 μB per cell

---

- Which of these has the highest raw total energy?
  ScBe2In